(1)
# Ba2PbS3O12

Ba2PbS3O12 at its PBEsol-relaxed geometry (SCAN, Alexandria).

Output
**Space group**: No. 6

Structure (POSCAR):
```
Ba2PbS3O12
1.0
-1.566 0.328 -5.184
-0.976 -8.646 -0.252
-20.131 2.193 6.218
O Pb S Ba
48 4 12 8
direct
0.000 0.094 0.799
0.000 0.594 0.035
0.221 0.412 0.773
0.275 0.578 0.897
0.500 0.696 0.647
0.000 0.813 0.485
0.779 0.415 0.438
0.724 0.567 0.229
0.500 0.694 0.313
0.724 0.565 0.564
0.500 0.413 0.305
0.779 0.417 0.102
0.000 0.817 0.823
0.779 0.915 0.732
0.276 0.087 0.604
0.000 0.316 0.011
0.724 0.089 0.268
0.276 0.567 0.229
0.222 0.916 0.060
0.500 0.920 0.860
0.725 0.578 0.897
0.221 0.915 0.732
0.779 0.412 0.773
0.724 0.087 0.604
0.778 0.916 0.060
0.000 0.814 0.150
0.276 0.565 0.564
0.500 0.201 0.181
0.000 0.092 0.129
0.000 0.591 0.706
0.778 0.917 0.396
0.500 0.202 0.852
0.000 0.314 0.347
0.500 0.200 0.517
0.000 0.591 0.370
0.000 0.091 0.465
0.274 0.076 0.936
0.500 0.702 0.982
0.500 0.919 0.532
0.000 0.314 0.682
0.500 0.415 0.641
0.222 0.917 0.396
0.276 0.089 0.268
0.726 0.076 0.936
0.500 0.921 0.197
0.500 0.420 0.972
0.221 0.415 0.438
0.221 0.417 0.102
0.000 0.309 0.553
0.000 0.310 0.218
0.000 0.306 0.886
0.000 0.808 0.948
0.500 0.558 0.271
0.000 0.433 0.732
0.000 0.936 0.773
0.500 0.073 0.227
0.000 0.936 0.437
0.500 0.066 0.894
0.000 0.437 0.061
0.500 0.567 0.939
0.500 0.072 0.562
0.500 0.558 0.605
0.000 0.936 0.101
0.000 0.435 0.396
0.500 0.681 0.113
0.500 0.179 0.721
0.500 0.677 0.781
0.000 0.813 0.615
0.500 0.181 0.387
0.000 0.815 0.280
0.500 0.680 0.447
0.500 0.181 0.051
```

---

(2)
# Ba4Ti5PbO15

Ba4Ti5PbO15 at its PBEsol-relaxed geometry (SCAN, Alexandria).

Output
**Space group**: No. 123

Structure (POSCAR):
```
Ba4Ti5PbO15
1.0
3.974 0.000 0.000
0.000 3.974 0.000
0.000 0.000 19.857
Ti O Ba Pb
5 15 4 1
direct
0.500 0.500 0.098
0.500 0.500 0.701
0.500 0.500 0.299
0.500 0.500 0.902
0.500 0.500 0.500
0.000 0.500 0.299
0.500 0.500 0.399
0.000 0.500 0.097
0.500 0.000 0.903
0.500 0.500 0.000
0.500 0.000 0.097
0.500 0.500 0.601
0.500 0.000 0.299
0.500 0.500 0.198
0.500 0.500 0.802
0.000 0.500 0.701
0.000 0.500 0.903
0.500 0.000 0.500
0.500 0.000 0.701
0.000 0.500 0.500
0.000 0.000 0.399
0.000 0.000 0.601
0.000 0.000 0.802
0.000 0.000 0.198
0.000 0.000 0.000
```

---

(3)
# Ba2PdO3

Ba2PdO3 at its PBEsol-relaxed geometry (SCAN, Alexandria).

Output
**Space group**: No. 71

Structure (POSCAR):
```
Ba2PdO3
1.0
3.846 0.000 0.000
0.000 4.076 0.000
-1.923 -2.038 6.616
Ba O Pd
2 3 1
direct
0.355 0.355 0.709
0.645 0.645 0.291
0.154 0.154 0.309
0.000 0.500 0.000
0.846 0.846 0.691
0.000 0.000 0.000
```

---

(4)
# Ba2PdO

Ba2PdO at its PBEsol-relaxed geometry (SCAN, Alexandria).

Output
**Space group**: No. 122

Structure (POSCAR):
```
Ba2PdO
1.0
6.761 0.062 0.094
-2.833 6.139 -0.094
-2.833 -2.550 5.585
O Ba Pd
2 4 2
direct
0.500 0.250 0.750
0.000 0.500 0.500
0.936 0.561 0.125
0.436 0.875 0.811
0.064 0.189 0.625
0.564 0.375 0.439
0.500 0.750 0.250
0.000 0.000 0.000
```

---

(5)
# BaPr2PdO5

BaPr2PdO5 at its PBEsol-relaxed geometry (SCAN, Alexandria).

Output
**Space group**: No. 127

Structure (POSCAR):
```
BaPr2PdO5
1.0
-3.284 -1.087 -4.765
0.796 -6.649 0.968
-5.559 -0.105 3.855
Pr Ba O Pd
4 2 10 2
direct
0.500 0.827 0.673
0.500 0.673 0.173
0.500 0.327 0.827
0.500 0.173 0.327
0.000 0.000 0.000
0.000 0.500 0.500
0.500 0.500 0.500
0.752 0.360 0.140
0.248 0.360 0.140
0.752 0.640 0.860
0.248 0.640 0.860
0.500 0.000 0.000
0.248 0.860 0.360
0.248 0.140 0.640
0.752 0.860 0.360
0.752 0.140 0.640
0.000 0.500 0.000
0.000 0.000 0.500
```

---

(6)
# BaTb2PdO5

BaTb2PdO5 at its PBEsol-relaxed geometry (SCAN, Alexandria).

Output
**Space group**: No. 127

Structure (POSCAR):
```
BaTb2PdO5
1.0
5.829 0.000 0.000
0.000 6.510 0.000
0.000 0.000 6.510
Tb O Pd Ba
4 10 2 2
direct
0.500 0.673 0.173
0.500 0.327 0.827
0.500 0.827 0.673
0.500 0.173 0.327
0.742 0.640 0.860
0.258 0.360 0.140
0.500 0.500 0.500
0.258 0.640 0.860
0.500 0.000 0.000
0.742 0.360 0.140
0.742 0.860 0.360
0.258 0.860 0.360
0.742 0.140 0.640
0.258 0.140 0.640
0.000 0.500 0.000
0.000 0.000 0.500
0.000 0.000 0.000
0.000 0.500 0.500
```

---

| no. | raw formation energy (meV/atom) | total magnetization (μB/f.u.) |
| --- | --- | --- |
| 1 | -2227 | 0.0 |
| 2 | -3200 | 0.0 |
| 3 | -2185 | 0.0 |
| 4 | -1469 | 0.0 |
| 5 | -2880 | 0.0 |
| 6 | -2990 | 0.0 |